The following is a DFT calculation (PBE) of HfHCCl2 after structural relaxation.

a = 3.770 Å, b = 4.819 Å, c = 3.770 Å
α = 90.00°, β = 90.00°, γ = 90.00°
Sites, in units of the cell vectors:
H  0.000  0.000  0.000
C  0.000  0.500  0.000
Hf  0.500  0.500  0.500
Cl  0.000  0.000  0.500
Cl  0.500  0.000  0.000

Symmetry = P4/mmm, No. 123
Volume = 68.5 Å³/f.u.
Spin magnetization = 0.90 μB per cell
E_tot = -4.26 eV/atom


The following is a DFT calculation (PBE) of PbSeS6 after structural relaxation.

a = 6.586 Å, b = 6.437 Å, c = 9.181 Å
α = 102.52°, β = 38.32°, γ = 113.50°
Sites, in units of the cell vectors:
Pb  0.500  0.500  0.500
Se  0.000  0.000  0.000
S  0.251  0.995  0.610
S  0.476  0.414  0.829
S  0.696  0.351  0.969
S  0.524  0.586  0.171
S  0.749  0.005  0.390
S  0.304  0.649  0.031

Symmetry = P-1, No. 2
Volume = 218.1 Å³/f.u.
Spin magnetization = 0.00 μB per cell
Formation energy from raw total energies = 0.0393 eV/atom
E_tot = -3.96 eV/atom


The following is a DFT calculation (PBE) of Na5MgBi2 after structural relaxation.

a = 5.578 Å, b = 5.578 Å, c = 19.782 Å
α = 90.00°, β = 90.00°, γ = 120.00°
Sites, in units of the cell vectors:
Na  0.000  0.000  0.357
Na  0.000  0.000  0.143
Na  0.667  0.333  0.250
Na  0.000  0.000  0.857
Na  0.667  0.333  0.056
Na  0.333  0.667  0.750
Na  0.333  0.667  0.944
Na  0.333  0.667  0.556
Na  0.667  0.333  0.444
Na  0.000  0.000  0.643
Mg  0.333  0.667  0.250
Mg  0.667  0.333  0.750
Bi  0.667  0.333  0.609
Bi  0.333  0.667  0.109
Bi  0.333  0.667  0.391
Bi  0.667  0.333  0.891

Symmetry = P6_3/mmc, No. 194
Volume = 266.5 Å³/f.u.
Energy relative to the elements = -0.23 eV/atom
Spin magnetization = 0.36 μB per cell
E_tot = -2.23 eV/atom


The following is a DFT calculation (PBE) of La2Tb9Er after structural relaxation.

a = 5.076 Å, b = 5.076 Å, c = 15.247 Å
α = 90.00°, β = 90.00°, γ = 90.00°
Sites, in units of the cell vectors:
La  0.000  0.000  0.333
La  0.000  0.000  0.667
Tb  0.500  0.500  0.000
Tb  0.500  0.500  0.331
Tb  0.500  0.500  0.669
Tb  0.500  0.000  0.163
Tb  0.500  0.000  0.500
Tb  0.500  0.000  0.837
Tb  0.000  0.500  0.163
Tb  0.000  0.500  0.500
Tb  0.000  0.500  0.837
Er  0.000  0.000  0.000

Symmetry = P4/mmm, No. 123
Energy relative to the lowest polymorph listed for this composition = 0.00 eV per formula unit
Volume = 392.8 Å³/f.u.
Energy relative to the elements = 0.03 eV/atom
Spin magnetization = 0.00 μB per cell
E_tot = -4.65 eV/atom


The following is a DFT calculation (PBE) of CuSbOs4 after structural relaxation.

a = 5.230 Å, b = 5.230 Å, c = 5.230 Å
α = 60.00°, β = 60.00°, γ = 60.00°
Sites, in units of the cell vectors:
Cu  0.000  0.000  0.000
Sb  0.750  0.750  0.750
Os  0.876  0.375  0.375
Os  0.375  0.375  0.876
Os  0.375  0.876  0.375
Os  0.375  0.375  0.375

Symmetry = F-43m, No. 216
Volume = 101.2 Å³/f.u.
Spin magnetization = 0.00 μB per cell
Formation energy from raw total energies = 0.9323 eV/atom
E_tot = -7.92 eV/atom


The following is a DFT calculation (PBE) of NdCr2B6 after structural relaxation.

a = 3.106 Å, b = 5.530 Å, c = 5.530 Å
α = 72.95°, β = 73.68°, γ = 73.68°
Sites, in units of the cell vectors:
Cr  0.846  0.654  0.654
Cr  0.154  0.346  0.346
B  0.698  0.067  0.538
B  0.302  0.933  0.462
B  0.302  0.462  0.933
B  0.500  0.639  0.361
B  0.500  0.361  0.639
B  0.698  0.538  0.067
Nd  0.000  0.000  0.000

Symmetry = Immm, No. 71
Volume = 85.1 Å³/f.u.
Energy relative to the elements = -0.54 eV/atom
Spin magnetization = 0.00 μB per cell
E_tot = -7.66 eV/atom


The following is a DFT calculation (PBE) of TaCdP2S after structural relaxation.

a = 4.905 Å, b = 4.905 Å, c = 4.708 Å
α = 90.00°, β = 90.00°, γ = 90.00°
Sites, in units of the cell vectors:
P  0.000  0.500  0.000
P  0.500  0.000  0.000
S  0.000  0.000  0.500
Cd  0.500  0.500  0.500
Ta  0.000  0.000  0.000

Symmetry = P4/mmm, No. 123
Energy relative to the lowest polymorph listed for this composition = 0.00 eV per formula unit
Volume = 113.3 Å³/f.u.
Spin magnetization = 0.00 μB per cell
Formation energy from raw total energies = 0.1379 eV/atom
E_tot = -5.41 eV/atom


The following is a DFT calculation (PBE) of ErTiGaAu after structural relaxation.

a = 4.828 Å, b = 4.828 Å, c = 4.828 Å
α = 60.00°, β = 60.00°, γ = 60.00°
Sites, in units of the cell vectors:
Ti  0.250  0.250  0.250
Au  0.000  0.000  0.000
Ga  0.500  0.500  0.500
Er  0.750  0.750  0.750

Symmetry = F-43m, No. 216
Volume = 79.6 Å³/f.u.
Energy relative to the elements = -0.46 eV/atom
Spin magnetization = 1.44 μB per cell
E_tot = -5.15 eV/atom


The following is a DFT calculation (PBE) of Sm6Cd2Tc after structural relaxation.

a = 5.408 Å, b = 7.291 Å, c = 8.614 Å
α = 115.04°, β = 108.24°, γ = 90.00°
Sites, in units of the cell vectors:
Sm  0.152  0.400  0.305
Sm  0.848  0.095  0.695
Sm  0.848  0.600  0.695
Sm  0.500  0.223  0.000
Sm  0.152  0.905  0.305
Sm  0.500  0.777  0.000
Cd  0.666  0.666  0.332
Cd  0.334  0.334  0.668
Tc  0.000  0.000  0.000

Symmetry = C2/m, No. 12
Energy relative to the lowest polymorph listed for this composition = 1.90 eV per formula unit
Volume = 288.8 Å³/f.u.
Energy relative to the elements = 0.09 eV/atom
Spin magnetization = 0.00 μB per cell
E_tot = -4.41 eV/atom


The following is a DFT calculation (PBE) of PrPa2Pt4 after structural relaxation.

a = 5.767 Å, b = 5.766 Å, c = 14.640 Å
α = 90.00°, β = 90.00°, γ = 140.61°
Sites, in units of the cell vectors:
Pr  0.575  0.925  0.750
Pr  0.425  0.075  0.250
Pa  0.154  0.346  0.404
Pa  0.846  0.654  0.904
Pa  0.154  0.346  0.096
Pa  0.846  0.654  0.596
Pt  0.856  0.644  0.098
Pt  0.856  0.644  0.402
Pt  0.144  0.356  0.902
Pt  0.144  0.356  0.598
Pt  0.308  0.191  0.750
Pt  0.692  0.809  0.250
Pt  0.500  0.000  0.000
Pt  0.500  0.000  0.500

Symmetry = Cmcm, No. 63
Volume = 154.5 Å³/f.u.
Energy relative to the elements = -1.03 eV/atom
Spin magnetization = 0.00 μB per cell
E_tot = -7.88 eV/atom


The following is a DFT calculation (PBE) of LaPRu2N after structural relaxation.

a = 3.819 Å, b = 5.965 Å, c = 7.159 Å
α = 90.00°, β = 90.00°, γ = 108.67°
Sites, in units of the cell vectors:
La  0.456  0.913  0.750
La  0.544  0.087  0.250
P  0.729  0.458  0.750
P  0.271  0.542  0.250
Ru  0.168  0.336  0.946
Ru  0.832  0.664  0.054
Ru  0.168  0.336  0.554
Ru  0.832  0.664  0.446
N  0.000  0.000  0.000
N  0.000  0.000  0.500

Symmetry = Cmcm, No. 63
Volume = 77.2 Å³/f.u.
Spin magnetization = 0.00 μB per cell
Formation energy from raw total energies = -0.8095 eV/atom
E_tot = -8.25 eV/atom


The following is a DFT calculation (PBE) of Rb2TmNp2S6 after structural relaxation.

a = 6.960 Å, b = 6.960 Å, c = 8.174 Å
α = 98.05°, β = 98.05°, γ = 120.00°
Sites, in units of the cell vectors:
Rb  0.834  0.166  0.000
Rb  0.166  0.834  0.000
Tm  0.000  0.000  0.500
Np  0.334  0.666  0.500
Np  0.666  0.334  0.500
S  0.730  0.730  0.684
S  0.059  0.394  0.684
S  0.270  0.270  0.316
S  0.394  0.059  0.684
S  0.941  0.606  0.316
S  0.606  0.941  0.316

Symmetry = C2/m, No. 12
Volume = 329.2 Å³/f.u.
Spin magnetization = 7.00 μB per cell
Formation energy from raw total energies = -1.5576 eV/atom
E_tot = -6.74 eV/atom


The following is a DFT calculation (PBE) of LiTl2CdCo after structural relaxation.

a = 5.581 Å, b = 4.999 Å, c = 5.581 Å
α = 90.00°, β = 90.00°, γ = 90.00°
Sites, in units of the cell vectors:
Tl  0.000  0.000  0.500
Tl  0.500  0.000  0.000
Li  0.500  0.500  0.500
Co  0.000  0.500  0.000
Cd  0.000  0.000  0.000

Symmetry = P4/mmm, No. 123
Volume = 155.7 Å³/f.u.
Energy relative to the elements = 0.78 eV/atom
Spin magnetization = 1.75 μB per cell
E_tot = -2.16 eV/atom


The following is a DFT calculation (PBE) of Pm2PrIO8 after structural relaxation.

a = 5.171 Å, b = 5.172 Å, c = 7.087 Å
α = 90.00°, β = 90.00°, γ = 90.02°
Sites, in units of the cell vectors:
Pm  0.500  0.500  0.752
Pm  0.500  0.500  0.248
Pr  0.000  0.000  0.500
I  0.000  0.000  0.000
O  0.178  0.821  0.199
O  0.740  0.741  0.000
O  0.822  0.179  0.199
O  0.822  0.179  0.801
O  0.260  0.259  0.000
O  0.178  0.821  0.801
O  0.686  0.686  0.500
O  0.314  0.314  0.500

Symmetry = Cmmm, No. 65
Volume = 189.5 Å³/f.u.
Spin magnetization = 0.00 μB per cell
Formation energy from raw total energies = -2.2358 eV/atom
E_tot = -6.86 eV/atom


The following is a DFT calculation (PBE) of TlCu3PbSe4 after structural relaxation.

a = 6.228 Å, b = 6.228 Å, c = 6.228 Å
α = 90.00°, β = 90.00°, γ = 90.00°
Sites, in units of the cell vectors:
Tl  0.000  0.000  0.000
Cu  0.000  0.500  0.000
Cu  0.000  0.000  0.500
Cu  0.500  0.000  0.000
Pb  0.500  0.500  0.500
Se  0.246  0.246  0.246
Se  0.754  0.754  0.246
Se  0.246  0.754  0.754
Se  0.754  0.246  0.754

Symmetry = P-43m, No. 215
Volume = 241.6 Å³/f.u.
Spin magnetization = 0.00 μB per cell
Formation energy from raw total energies = 0.0207 eV/atom
E_tot = -3.57 eV/atom


The following is a DFT calculation (PBE) of SrMg2Cr after structural relaxation.

a = 6.342 Å, b = 6.132 Å, c = 3.315 Å
α = 79.73°, β = 79.91°, γ = 115.90°
Sites, in units of the cell vectors:
Cr  0.500  0.000  0.500
Mg  0.000  0.000  0.000
Mg  0.000  0.500  0.500
Sr  0.500  0.500  0.000

Symmetry = C2/m, No. 12
Volume = 109.3 Å³/f.u.
Energy relative to the elements = 0.52 eV/atom
Spin magnetization = 4.38 μB per cell
E_tot = -3.10 eV/atom


The following is a DFT calculation (PBE) of ZnInSN2 after structural relaxation.

a = 3.941 Å, b = 3.941 Å, c = 5.347 Å
α = 90.00°, β = 90.00°, γ = 90.00°
Sites, in units of the cell vectors:
Zn  0.000  0.000  0.000
N  0.000  0.500  0.000
N  0.500  0.000  0.000
S  0.000  0.000  0.500
In  0.500  0.500  0.500

Symmetry = P4/mmm, No. 123
Energy relative to the lowest polymorph listed for this composition = 0.00 eV per formula unit
Volume = 83.0 Å³/f.u.
Spin magnetization = 3.12 μB per cell
Formation energy from raw total energies = 1.2077 eV/atom
E_tot = -3.75 eV/atom


The following is a DFT calculation (PBE) of AcYGaSn after structural relaxation.

a = 5.472 Å, b = 5.472 Å, c = 5.472 Å
α = 60.00°, β = 60.00°, γ = 60.00°
Sites, in units of the cell vectors:
Y  0.750  0.750  0.750
Ac  0.250  0.250  0.250
Sn  0.500  0.500  0.500
Ga  0.000  0.000  0.000

Symmetry = F-43m, No. 216
Volume = 115.8 Å³/f.u.
Energy relative to the elements = -0.51 eV/atom
Spin magnetization = 0.00 μB per cell
E_tot = -4.91 eV/atom


The following is a DFT calculation (PBE) of Cu2IrS4 after structural relaxation.

a = 4.817 Å, b = 4.817 Å, c = 6.519 Å
α = 68.31°, β = 68.31°, γ = 90.00°
Sites, in units of the cell vectors:
S  0.204  0.204  0.591
S  0.796  0.796  0.409
S  0.000  0.500  0.000
S  0.500  0.000  0.000
Ir  0.000  0.000  0.000
Cu  0.395  0.395  0.210
Cu  0.605  0.605  0.790

Symmetry = I4/mmm, No. 139
Energy relative to the lowest polymorph listed for this composition = 4.13 eV per formula unit
Volume = 129.0 Å³/f.u.
Spin magnetization = 0.00 μB per cell
Formation energy from raw total energies = 0.3709 eV/atom
E_tot = -4.42 eV/atom


The following is a DFT calculation (PBE) of LaHo3Hg4 after structural relaxation.

a = 5.272 Å, b = 7.654 Å, c = 10.545 Å
α = 90.00°, β = 90.00°, γ = 90.00°
Sites, in units of the cell vectors:
Hg  0.500  0.766  0.000
Hg  0.500  0.766  0.500
Hg  0.500  0.234  0.000
Hg  0.500  0.234  0.500
Hg  0.000  0.766  0.750
Hg  0.000  0.766  0.250
Hg  0.000  0.234  0.250
Hg  0.000  0.234  0.750
Ho  0.000  0.000  0.000
Ho  0.000  0.000  0.500
Ho  0.500  0.000  0.750
Ho  0.500  0.000  0.250
Ho  0.500  0.500  0.750
Ho  0.500  0.500  0.250
La  0.000  0.500  0.000
La  0.000  0.500  0.500

Symmetry = P4/mmm, No. 123
Volume = 212.8 Å³/f.u.
Energy relative to the elements = -0.47 eV/atom
Spin magnetization = 1.36 μB per cell
E_tot = -2.95 eV/atom